1.
Entry from Alexandria via LeMat-Bulk: a relaxed structure of Ac3PrDy2Y6 (PBE).

The density of states at the Fermi level comes out at 29.75 states/eV per cell. Its formation energy is 0.0446 eV per atom. The calculation puts the total magnetization at 0.00 μB per formula unit. The calculated total energy is -5.380 eV per atom.

Cell: 6.424 11.126 12.002 Å, 90.00 100.26 90.00°
Space group C2/m (No. 12)
Unique sites:
1 Ac 0.000 0.000 0.000
2 Ac 0.000 0.333 0.000
3 Pr 0.000 0.500 0.500
4 Dy 0.000 0.167 0.500
5 Y 0.246 0.000 0.742
6 Y 0.248 0.333 0.742


2.
Entry from Alexandria via LeMat-Bulk: a relaxed structure of AcPrDy2Y6 (PBE).

The density of states at the Fermi level comes out at 63.63 states/eV per cell. Its formation energy is 0.1277 eV per atom. The calculation puts the total magnetization at 0.00 μB per formula unit. The calculated total energy is -5.560 eV per atom.

Cell: 9.309 15.346 9.652 Å, 90.00 95.61 90.00°
Space group C2/c (No. 15)
Unique sites:
1 Ac 0.000 0.032 0.250
2 Pr 0.000 0.411 0.750
3 Dy 0.247 0.444 0.450
4 Y 0.063 0.186 0.942
5 Y 0.099 0.390 0.114
6 Y 0.212 0.230 0.321


3.
Entry from Alexandria via LeMat-Bulk: a relaxed structure of AcPrDyY3 (PBE).

The density of states at the Fermi level comes out at 20.50 states/eV per cell. Its formation energy is 0.0442 eV per atom. The calculation puts the total magnetization at 0.00 μB per formula unit. The calculated total energy is -5.436 eV per atom.

Cell: 8.211 5.197 10.317 Å, 90.00 108.55 90.00°
Space group P2_1/m (No. 11)
Unique sites:
1 Ac 0.166 0.250 0.294
2 Pr 0.497 0.750 0.874
3 Dy 0.499 0.250 0.625
4 Y 0.168 0.750 0.040
5 Y 0.171 0.250 0.791
6 Y 0.171 0.750 0.545